1.
SCAN La2RuCl, PBEsol geometry; DOS at the Fermi energy = 1.4 states/eV/f.u.; ΔE_f (raw) = -1.09 eV per atom; E_tot = -1.225 Ha/atom
1.0
3.3838 0.0000 0.0000
0.0000 3.3838 0.0000
0.0000 0.0000 8.0167
La Ru Cl
2 1 1
direct
0.0000 0.0000 0.2209
0.0000 0.0000 0.7791
0.5000 0.5000 0.0000
0.5000 0.5000 0.5000

2.
SCAN Sr2CuHg, PBEsol geometry; DOS at the Fermi energy = 2.3 states/eV/f.u.; E_tot = -1.182 Ha/atom; formation enthalpy at 0 K = -180 meV/atom
1.0
4.4999 0.0000 0.0000
0.0000 4.4999 0.0000
0.0000 0.0000 6.4140
Sr Cu Hg
2 1 1
direct
0.0000 0.0000 0.0000
0.5000 0.5000 0.4629
0.0000 0.0000 0.5027
0.5000 0.5000 0.9547

3.
SCAN BaTaF7, PBEsol geometry; DOS at the Fermi energy = 0.0 states/eV/f.u.; ΔE_f (raw) = -3.61 eV per atom; E_tot = -0.667 Ha/atom
1.0
5.5742 0.0000 0.0000
0.0000 9.8781 0.0000
-0.3438 0.0000 10.1225
Ba Ta F
4 4 28
direct
0.1919 0.1730 0.0103
0.1919 0.3270 0.5103
0.8081 0.6730 0.4897
0.8081 0.8270 0.9897
0.3247 0.6064 0.1839
0.3247 0.8936 0.6839
0.6753 0.1064 0.3161
0.6753 0.3936 0.8161
0.0339 0.6902 0.2398
0.0339 0.8098 0.7398
0.1095 0.5429 0.6173
0.1095 0.9571 0.1173
0.1744 0.0576 0.6304
0.1744 0.4424 0.1304
0.2563 0.6968 0.0189
0.2563 0.8032 0.5189
0.3816 0.0492 0.3863
0.3816 0.4508 0.8863
0.3910 0.5391 0.3600
0.3910 0.9609 0.8600
0.4866 0.2396 0.7576
0.4866 0.2604 0.2576
0.5134 0.7396 0.7424
0.5134 0.7604 0.2424
0.6090 0.0391 0.1400
0.6090 0.4609 0.6400
0.6184 0.5492 0.1137
0.6184 0.9508 0.6137
0.7437 0.1968 0.4811
0.7437 0.3032 0.9811
0.8256 0.5576 0.8696
0.8256 0.9424 0.3696
0.8905 0.0429 0.8827
0.8905 0.4571 0.3827
0.9661 0.1902 0.2602
0.9661 0.3098 0.7602

4.
SCAN CsBeTl3, PBEsol geometry; DOS at the Fermi energy = 5.9 states/eV/f.u.; E_tot = -1.851 Ha/atom; formation enthalpy at 0 K = 1469 meV/atom
1.0
6.4356 0.0000 0.0000
0.0000 6.4356 0.0000
0.0000 0.0000 6.4356
Cs Be Tl
1 1 3
direct
0.0000 0.0000 0.0000
0.5000 0.5000 0.5000
0.0000 0.0000 0.5000
0.0000 0.5000 0.0000
0.5000 0.0000 0.0000

5.
SCAN ZrMnBe4, PBEsol geometry; DOS at the Fermi energy = 1.7 states/eV/f.u.; E_tot = -0.414 Ha/atom; formation enthalpy at 0 K = -214 meV/atom
1.0
0.0000 3.1568 3.1568
3.1568 0.0000 3.1568
3.1568 3.1568 0.0000
Zr Mn Be
1 1 4
direct
0.0000 0.0000 0.0000
0.2500 0.2500 0.2500
0.1311 0.6230 0.6230
0.6230 0.1311 0.6230
0.6230 0.6230 0.1311
0.6230 0.6230 0.6230

6.
SCAN Ni4W, PBEsol geometry; DOS at the Fermi energy = 4.5 states/eV/f.u.; E_tot = -0.990 Ha/atom; formation enthalpy at 0 K = -59 meV/atom
1.0
-2.8334 2.8334 1.7537
2.8334 -2.8334 1.7537
2.8334 2.8334 -1.7537
Ni W
4 1
direct
0.0995 0.3013 0.4007
0.3013 0.9005 0.2018
0.6987 0.0995 0.7982
0.9005 0.6987 0.5993
0.5000 0.5000 0.0000

7.
SCAN TaBe12, PBEsol geometry; DOS at the Fermi energy = 2.5 states/eV/f.u.; E_tot = -0.340 Ha/atom; formation enthalpy at 0 K = -119 meV/atom
1.0
-3.6364 3.6364 2.0961
3.6364 -3.6364 2.0961
3.6364 3.6364 -2.0961
Ta Be
1 12
direct
0.0000 0.0000 0.0000
0.0000 0.0000 0.5000
0.0000 0.3519 0.3519
0.0000 0.5000 0.0000
0.0000 0.6481 0.6481
0.2841 0.5000 0.7841
0.3519 0.0000 0.3519
0.5000 0.0000 0.0000
0.5000 0.2841 0.7841
0.5000 0.5000 0.5000
0.5000 0.7159 0.2159
0.6481 0.0000 0.6481
0.7159 0.5000 0.2159

8.
SCAN CrAu3, PBEsol geometry; DOS at the Fermi energy = 1.2 states/eV/f.u.; E_tot = -2.080 Ha/atom; formation enthalpy at 0 K = -148 meV/atom
1.0
-2.0248 2.0248 7.9701
2.0248 -2.0248 7.9701
2.0248 2.0248 -7.9701
Cr Au
2 6
direct
0.1264 0.1264 0.0000
0.8736 0.8736 0.0000
0.0000 0.5000 0.5000
0.2500 0.7500 0.5000
0.3759 0.3759 0.0000
0.5000 0.0000 0.5000
0.6241 0.6241 0.0000
0.7500 0.2500 0.5000

9.
SCAN BeIrF2, PBEsol geometry; DOS at the Fermi energy = 1.3 states/eV/f.u.; ΔE_f (raw) = 0.19 eV per atom; E_tot = -0.751 Ha/atom
1.0
0.0000 2.8004 2.8004
2.8004 0.0000 2.8004
2.8004 2.8004 0.0000
Be Ir F
1 1 2
direct
0.0000 0.0000 0.0000
0.5000 0.5000 0.5000
0.2500 0.2500 0.2500
0.7500 0.7500 0.7500

10.
SCAN CuRh2W, PBEsol geometry; DOS at the Fermi energy = 2.6 states/eV/f.u.; E_tot = -1.395 Ha/atom; formation enthalpy at 0 K = 154 meV/atom
1.0
2.6774 -4.3213 0.0000
2.6774 4.3213 0.0000
-1.2096 0.0000 2.3738
Cu Rh W
1 2 1
direct
0.0000 0.0000 0.0000
0.0000 0.5000 0.5000
0.5000 0.0000 0.5000
0.5000 0.5000 0.0000

11.
SCAN Ca2BN2Cl, PBEsol geometry; DOS at the Fermi energy = 0.0 states/eV/f.u.; ΔE_f (raw) = -1.77 eV per atom; E_tot = -0.392 Ha/atom
1.0
11.5460 0.0000 0.0000
0.0000 3.8615 0.0000
0.0000 0.0000 8.9571
Ca B N Cl
8 4 8 4
direct
0.0892 0.2500 0.1098
0.1700 0.2500 0.5493
0.3300 0.7500 0.0493
0.4108 0.7500 0.6098
0.5892 0.2500 0.3902
0.6700 0.2500 0.9507
0.8300 0.7500 0.4507
0.9108 0.7500 0.8902
0.1653 0.7500 0.8184
0.3347 0.2500 0.3184
0.6653 0.7500 0.6816
0.8347 0.2500 0.1816
0.1223 0.7500 0.9588
0.2132 0.7500 0.6824
0.2868 0.2500 0.1824
0.3777 0.2500 0.4588
0.6223 0.7500 0.5412
0.7132 0.7500 0.8176
0.7868 0.2500 0.3176
0.8777 0.2500 0.0412
0.0612 0.7500 0.3474
0.4388 0.2500 0.8474
0.5612 0.7500 0.1526
0.9388 0.2500 0.6526

12.
SCAN FeCuP2, PBEsol geometry; DOS at the Fermi energy = 1.1 states/eV/f.u.; E_tot = -0.486 Ha/atom; formation enthalpy at 0 K = 293 meV/atom
1.0
-1.9227 1.9227 3.0793
1.9227 -1.9227 3.0793
1.9227 1.9227 -3.0793
Fe Cu P
1 1 2
direct
0.0000 0.0000 0.0000
0.5000 0.5000 0.0000
0.2500 0.7500 0.5000
0.7500 0.2500 0.5000

Magnetic moment for every record listed, in sequence, given in Bohr magnetons per cell: 0.00, 0.00, 0.14, 2.24, 1.00, 0.00, 0.01, 8.40, 1.89, 0.00, 0.00, 0.00.